Record 1
A crystal of LaTaNi2N relaxed with PBEsol. Source: Alexandria, functional meta-GGA SCAN.

Geometry as extended XYZ:
```
5
Lattice="4.364 0.000 0.000 0.000 4.364 0.000 0.000 0.000 5.239" Properties=species:S:1:pos:R:3 pbc="T T T"
Ni 0.000 2.182 0.000
Ni 2.182 0.000 0.000
N 2.182 2.182 2.619
La 0.000 0.000 0.000
Ta 0.000 0.000 2.619
```

Electronic total energy = -1.00693 Ha/atom

=====

Record 2
A crystal of La3NO relaxed with PBEsol. Source: Alexandria, functional meta-GGA SCAN.

Geometry as extended XYZ:
```
5
Lattice="4.731 0.000 0.000 0.000 4.731 0.000 0.000 0.000 4.731" Properties=species:S:1:pos:R:3 pbc="T T T"
N 2.366 2.366 2.366
O 0.000 0.000 0.000
La 0.000 2.366 0.000
La 0.000 0.000 2.366
La 2.366 0.000 0.000
```

Electronic total energy = -1.09162 Ha/atom

=====

Record 3
A crystal of LaOsN2O relaxed with PBEsol. Source: Alexandria, functional meta-GGA SCAN.

Geometry as extended XYZ:
```
5
Lattice="4.343 0.000 0.000 0.000 4.343 0.000 0.000 0.000 4.274" Properties=species:S:1:pos:R:3 pbc="T T T"
N 0.000 2.171 0.000
N 2.171 0.000 0.000
Os 2.171 2.171 2.137
O 0.000 0.000 2.137
La 0.000 0.000 0.000
```

Electronic total energy = -0.96688 Ha/atom

=====

Record 4
A crystal of LaPNO2 relaxed with PBEsol. Source: Alexandria, functional meta-GGA SCAN.

Geometry as extended XYZ:
```
5
Lattice="-1.155 -1.031 3.832 -3.676 -1.227 -1.438 2.343 -5.968 -0.899" Properties=species:S:1:pos:R:3 pbc="T T T"
P 1.172 -2.984 -0.450
N -1.244 -4.113 0.748
O -1.838 -0.613 -0.719
O -0.578 -0.515 1.916
La 0.000 0.000 0.000
```

Electronic total energy = -0.54621 Ha/atom

=====

Record 5
A crystal of LaPdN2O relaxed with PBEsol. Source: Alexandria, functional meta-GGA SCAN.

Geometry as extended XYZ:
```
5
Lattice="-3.618 -1.122 -0.908 -0.392 -1.596 3.532 -1.459 3.541 1.438" Properties=species:S:1:pos:R:3 pbc="T T T"
N -0.196 -0.798 1.766
N -1.809 -0.561 -0.454
O -0.730 1.771 0.719
Pd 0.000 0.000 0.000
La -2.734 0.412 2.031
```

Electronic total energy = -0.75860 Ha/atom

=====

Record 6
A crystal of LaPdNO2 relaxed with PBEsol. Source: Alexandria, functional meta-GGA SCAN.

Geometry as extended XYZ:
```
5
Lattice="4.307 0.000 0.000 0.000 4.307 0.000 0.000 0.000 4.886" Properties=species:S:1:pos:R:3 pbc="T T T"
N 0.000 0.000 2.443
O 0.000 2.154 0.000
O 2.154 0.000 0.000
Pd 2.154 2.154 2.443
La 0.000 0.000 0.000
```

Electronic total energy = -0.71836 Ha/atom